A relaxed Rb2TiCoF6 crystal, computed with PBE with a Hubbard U.

- final energy (eV/atom) = -5.28
- M_tot (μB per formula unit) = 2.98
- crystal system = tetragonal
- mass density (g/cm3) = 4.20
- volume (A^3/atom) = 15.48
- density of states at the Fermi level (states/eV per atom) = 0.515

a b c (Å): 6.0546 6.0546 8.4448
angles (deg): 90.00 90.00 90.00
Space group I4/mmm (No. 139)
Inequivalent atoms, fractional coordinates:
Rb 0.0000 0.5000 0.2500 (multiplicity 4)
Ti 0.0000 0.0000 0.0000 (multiplicity 2)
Co 0.0000 0.0000 0.5000 (multiplicity 2)
F 0.0000 0.0000 0.2319 (multiplicity 4)
F 0.2375 0.2375 0.0000 (multiplicity 8)